Record 1
VASP calculation (PBE) on an optimized crystal structure of SiTeMo2.

Summary:
**Energy above the lowest structure with this stoichiometry**: 0.0619 eV per atom
**Calculated volume**: 67.4 Å³/cell

Structure (CIF):
```
data_SiTeMo2
_chemical_formula_sum 'Si1 Te1 Mo2'
_cell_length_a 4.806
_cell_length_b 4.806
_cell_length_c 4.729
_cell_angle_alpha 74.24
_cell_angle_beta 74.24
_cell_angle_gamma 40.13
_symmetry_space_group_name_H-M 'P 1'
_symmetry_Int_Tables_number 1
loop_
_symmetry_equiv_pos_as_xyz
'x,y,z'
loop_
_atom_site_label
_atom_site_type_symbol
_atom_site_fract_x
_atom_site_fract_y
_atom_site_fract_z
Mo1 Mo 0.001 0.001 0.976
Mo2 Mo 0.239 0.239 0.322
Si1 Si 0.510 0.510 0.418
Te1 Te 0.750 0.750 0.784
```

=====

Record 2
VASP calculation (PBE) on an optimized crystal structure of SiTe2Mo.

Summary:
**Energy**: -0.17738 hartree per atom
**Calculated volume**: 80.6 Å³/cell

Structure (CIF):
```
data_SiTe2Mo
_chemical_formula_sum 'Si1 Te2 Mo1'
_cell_length_a 4.849
_cell_length_b 4.849
_cell_length_c 4.849
_cell_angle_alpha 60.00
_cell_angle_beta 60.00
_cell_angle_gamma 60.00
_symmetry_space_group_name_H-M 'P 1'
_symmetry_Int_Tables_number 1
loop_
_symmetry_equiv_pos_as_xyz
'x,y,z'
loop_
_atom_site_label
_atom_site_type_symbol
_atom_site_fract_x
_atom_site_fract_y
_atom_site_fract_z
Te1 Te 0.000 0.000 0.000
Te2 Te 0.250 0.250 0.250
Mo1 Mo 0.500 0.500 0.500
Si1 Si 0.750 0.750 0.750
```

=====

Size of the total moment values (in μB/atom) by entry order: 0.000; 0.000.